# PBE TiHgOsSe2, optimized geometry
# Total magnetization   1.6 μB per formula unit
# Formation energy from raw total energies   670 meV per atom
# Fermi-level density of states   4.4 states/eV/f.u.
# Electronic total energy   -4.609 eV per atom
data_TiHgOsSe2
_cell_length_a 4.8455
_cell_length_b 4.8455
_cell_length_c 4.9419
_cell_angle_alpha 90.00
_cell_angle_beta 90.00
_cell_angle_gamma 90.00
_space_group_name_H-M_alt 'P 4/m m m'
_space_group_IT_number 123
_space_group_name_Hall '-P 4 2'
loop_
_atom_site_label
_atom_site_type_symbol
_atom_site_fract_x
_atom_site_fract_y
_atom_site_fract_z
Ti1 Ti 0.0000 0.0000 0.0000
Hg1 Hg 0.5000 0.5000 0.5000
Os1 Os 0.0000 0.0000 0.5000
Se1 Se 0.0000 0.5000 0.0000

# PBE TiHg2OsSe, optimized geometry
# Total magnetization   0.0 μB per formula unit
# Formation energy from raw total energies   1336 meV per atom
# Fermi-level density of states   7.7 states/eV/f.u.
# Electronic total energy   -3.307 eV per atom
data_TiHg2OsSe
_cell_length_a 5.2000
_cell_length_b 5.2000
_cell_length_c 4.4982
_cell_angle_alpha 90.00
_cell_angle_beta 90.00
_cell_angle_gamma 90.00
_space_group_name_H-M_alt 'P 4/m m m'
_space_group_IT_number 123
_space_group_name_Hall '-P 4 2'
loop_
_atom_site_label
_atom_site_type_symbol
_atom_site_fract_x
_atom_site_fract_y
_atom_site_fract_z
Ti1 Ti 0.0000 0.0000 0.0000
Hg1 Hg 0.0000 0.5000 0.5000
Os1 Os 0.5000 0.5000 0.0000
Se1 Se 0.5000 0.5000 0.5000

# PBE Si2HgOs, optimized geometry
# Total magnetization   0.0 μB per formula unit
# Formation energy from raw total energies   227 meV per atom
# Fermi-level density of states   1.8 states/eV/f.u.
# Electronic total energy   -5.367 eV per atom
data_Si2HgOs
_cell_length_a 2.8837
_cell_length_b 3.8386
_cell_length_c 13.0317
_cell_angle_alpha 90.00
_cell_angle_beta 90.00
_cell_angle_gamma 90.00
_space_group_name_H-M_alt 'I m m 2'
_space_group_IT_number 44
_space_group_name_Hall 'I 2 -2'
loop_
_atom_site_label
_atom_site_type_symbol
_atom_site_fract_x
_atom_site_fract_y
_atom_site_fract_z
Si1 Si 0.0000 0.0000 0.0000
Si2 Si 0.0000 0.5000 0.1907
Hg1 Hg 0.0000 0.5000 0.8232
Os1 Os 0.0000 0.0000 0.5418

# PBE Si2HgOs, optimized geometry
# Total magnetization   0.0 μB per formula unit
# Formation energy from raw total energies   526 meV per atom
# Fermi-level density of states   2.3 states/eV/f.u.
# Electronic total energy   -5.069 eV per atom
data_Si2HgOs
_cell_length_a 2.9161
_cell_length_b 4.8904
_cell_length_c 9.5873
_cell_angle_alpha 90.00
_cell_angle_beta 90.00
_cell_angle_gamma 90.00
_space_group_name_H-M_alt 'C m m 2'
_space_group_IT_number 35
_space_group_name_Hall 'C 2 -2'
loop_
_atom_site_label
_atom_site_type_symbol
_atom_site_fract_x
_atom_site_fract_y
_atom_site_fract_z
Si1 Si 0.0000 0.0000 0.0000
Si2 Si 0.0000 0.5000 0.2220
Hg1 Hg 0.0000 0.5000 0.6937
Os1 Os 0.0000 0.0000 0.4139

# PBE SiHgOs3, optimized geometry
# Total magnetization   6.0 μB per formula unit
# Formation energy from raw total energies   3355 meV per atom
# Fermi-level density of states   7.7 states/eV/f.u.
# Electronic total energy   -4.527 eV per atom
data_SiHgOs3
_cell_length_a 4.9502
_cell_length_b 4.9502
_cell_length_c 4.9502
_cell_angle_alpha 90.00
_cell_angle_beta 90.00
_cell_angle_gamma 90.00
_space_group_name_H-M_alt 'P m -3 m'
_space_group_IT_number 221
_space_group_name_Hall '-P 4 2 3'
loop_
_atom_site_label
_atom_site_type_symbol
_atom_site_fract_x
_atom_site_fract_y
_atom_site_fract_z
Si1 Si 0.0000 0.0000 0.0000
Hg1 Hg 0.5000 0.5000 0.5000
Os1 Os 0.0000 0.5000 0.5000

# PBE Si2HgOs, optimized geometry
# Total magnetization   0.0 μB per formula unit
# Formation energy from raw total energies   661 meV per atom
# Fermi-level density of states   1.7 states/eV/f.u.
# Electronic total energy   -4.933 eV per atom
data_Si2HgOs
_cell_length_a 6.4139
_cell_length_b 6.4163
_cell_length_c 3.0575
_cell_angle_alpha 90.00
_cell_angle_beta 90.31
_cell_angle_gamma 90.00
_space_group_name_H-M_alt 'C 1 2/m 1'
_space_group_IT_number 12
_space_group_name_Hall '-C 2y'
loop_
_atom_site_label
_atom_site_type_symbol
_atom_site_fract_x
_atom_site_fract_y
_atom_site_fract_z
Si1 Si 0.2500 0.2500 0.0000
Hg1 Hg 0.0000 0.0000 0.5000
Os1 Os 0.0000 0.5000 0.5000

# PBE Si2HgOs, optimized geometry
# Total magnetization   0.0 μB per formula unit
# Formation energy from raw total energies   368 meV per atom
# Fermi-level density of states   1.6 states/eV/f.u.
# Electronic total energy   -5.226 eV per atom
data_Si2HgOs
_cell_length_a 2.9944
_cell_length_b 3.6227
_cell_length_c 6.1821
_cell_angle_alpha 90.00
_cell_angle_beta 90.00
_cell_angle_gamma 90.00
_space_group_name_H-M_alt 'P m m 2'
_space_group_IT_number 25
_space_group_name_Hall 'P 2 -2'
loop_
_atom_site_label
_atom_site_type_symbol
_atom_site_fract_x
_atom_site_fract_y
_atom_site_fract_z
Si1 Si 0.0000 0.0000 0.0000
Si2 Si 0.5000 0.5000 0.2610
Hg1 Hg 0.0000 0.0000 0.5329
Os1 Os 0.5000 0.5000 0.8801

# PBE Si2HgOs, optimized geometry
# Total magnetization   0.1 μB per formula unit
# Formation energy from raw total energies   136 meV per atom
# Fermi-level density of states   1.7 states/eV/f.u.
# Electronic total energy   -5.458 eV per atom
data_Si2HgOs
_cell_length_a 7.8464
_cell_length_b 2.9649
_cell_length_c 7.8964
_cell_angle_alpha 90.00
_cell_angle_beta 115.57
_cell_angle_gamma 90.00
_space_group_name_H-M_alt 'C 1 2/m 1'
_space_group_IT_number 12
_space_group_name_Hall '-C 2y'
loop_
_atom_site_label
_atom_site_type_symbol
_atom_site_fract_x
_atom_site_fract_y
_atom_site_fract_z
Si1 Si 0.2292 0.0000 0.3596
Hg1 Hg 0.0000 0.0000 0.0000
Os1 Os 0.0000 0.0000 0.5000

# PBE SiHgOs, optimized geometry
# Total magnetization   0.0 μB per formula unit
# Formation energy from raw total energies   551 meV per atom
# Fermi-level density of states   1.7 states/eV/f.u.
# Electronic total energy   -5.100 eV per atom
data_SiHgOs
_cell_length_a 5.9190
_cell_length_b 5.9190
_cell_length_c 5.9190
_cell_angle_alpha 90.00
_cell_angle_beta 90.00
_cell_angle_gamma 90.00
_space_group_name_H-M_alt 'F -4 3 m'
_space_group_IT_number 216
_space_group_name_Hall 'F -4 2 3'
loop_
_atom_site_label
_atom_site_type_symbol
_atom_site_fract_x
_atom_site_fract_y
_atom_site_fract_z
Si1 Si 0.0000 0.0000 0.0000
Hg1 Hg 0.2500 0.2500 0.2500
Os1 Os 0.2500 0.2500 0.7500

# PBE Si2HgOs, optimized geometry
# Total magnetization   0.0 μB per formula unit
# Formation energy from raw total energies   179 meV per atom
# Fermi-level density of states   1.7 states/eV/f.u.
# Electronic total energy   -5.415 eV per atom
data_Si2HgOs
_cell_length_a 2.9678
_cell_length_b 2.9678
_cell_length_c 8.2474
_cell_angle_alpha 90.00
_cell_angle_beta 90.00
_cell_angle_gamma 90.00
_space_group_name_H-M_alt 'P 4/m m m'
_space_group_IT_number 123
_space_group_name_Hall '-P 4 2'
loop_
_atom_site_label
_atom_site_type_symbol
_atom_site_fract_x
_atom_site_fract_y
_atom_site_fract_z
Si1 Si 0.0000 0.0000 0.1753
Hg1 Hg 0.5000 0.5000 0.5000
Os1 Os 0.5000 0.5000 0.0000

# PBE SiHgOs, optimized geometry
# Total magnetization   0.0 μB per formula unit
# Formation energy from raw total energies   286 meV per atom
# Fermi-level density of states   0.5 states/eV/f.u.
# Electronic total energy   -5.366 eV per atom
data_SiHgOs
_cell_length_a 3.1249
_cell_length_b 3.1249
_cell_length_c 10.2088
_cell_angle_alpha 90.00
_cell_angle_beta 90.00
_cell_angle_gamma 90.00
_space_group_name_H-M_alt 'I 4 m m'
_space_group_IT_number 107
_space_group_name_Hall 'I 4 -2'
loop_
_atom_site_label
_atom_site_type_symbol
_atom_site_fract_x
_atom_site_fract_y
_atom_site_fract_z
Si1 Si 0.0000 0.0000 0.0000
Hg1 Hg 0.0000 0.0000 0.3024
Os1 Os 0.0000 0.0000 0.5989

# PBE Si2HgOs, optimized geometry
# Total magnetization   0.0 μB per formula unit
# Formation energy from raw total energies   405 meV per atom
# Fermi-level density of states   1.8 states/eV/f.u.
# Electronic total energy   -5.190 eV per atom
data_Si2HgOs
_cell_length_a 3.0297
_cell_length_b 4.8178
_cell_length_c 10.0456
_cell_angle_alpha 90.00
_cell_angle_beta 90.00
_cell_angle_gamma 90.00
_space_group_name_H-M_alt 'C m m m'
_space_group_IT_number 65
_space_group_name_Hall '-C 2 2'
loop_
_atom_site_label
_atom_site_type_symbol
_atom_site_fract_x
_atom_site_fract_y
_atom_site_fract_z
Si1 Si 0.0000 0.0000 0.1936
Hg1 Hg 0.0000 0.5000 0.5000
Os1 Os 0.0000 0.5000 0.0000